## Ga2PdRu2 (PBE)

Data for crystalline Ga2PdRu2 at its relaxed geometry.

```
data_Ga2PdRu2
_chemical_formula_sum 'Ga4 Pd2 Ru4'
_space_group_name_H-M_alt 'P 4/m b m'
_space_group_IT_number 127
_space_group_name_Hall '-P 4 2ab'
_cell_length_a 7.190
_cell_length_b 7.190
_cell_length_c 2.922
_cell_angle_alpha 90.00
_cell_angle_beta 90.00
_cell_angle_gamma 90.00
loop_
_atom_site_label
_atom_site_type_symbol
_atom_site_fract_x
_atom_site_fract_y
_atom_site_fract_z
Ga1 Ga 0.173 0.327 0.000
Pd1 Pd 0.000 0.000 0.500
Ru1 Ru 0.126 0.626 0.500
```

Summary:
Total magnetization = 0.000 μB/cell
Relative energy among the computed polymorphs = 50.6 meV per atom
Calculated volume = 15.11 Å³ per atom